Entry 1:
! Ce6Tl2In, optimized geometry, DFT PBE; values from VASP
! ΔE_f	-0.100	eV/atom
! density	9.40	g/cm3
! energy relative to the lowest polymorph listed for this composition	36	meV per atom
&SYSTEM
  ibrav = 0, nat = 9, ntyp = 3
/
ATOMIC_SPECIES
Ce 140.12 Ce.upf
Tl 204.38 Tl.upf
In 114.82 In.upf
CELL_PARAMETERS angstrom
-1.592 4.730 8.004
1.592 -4.730 8.004
1.592 4.730 -8.004
ATOMIC_POSITIONS angstrom
Ce 1.592 -1.733 5.524
Ce 0.000 1.676 0.000
Ce 0.000 2.997 2.480
Ce 1.592 1.733 5.524
Ce 0.000 7.784 0.000
Ce 0.000 6.462 2.480
Tl 1.592 0.000 2.607
Tl 0.000 4.730 5.397
In 0.000 0.000 8.004

---

Entry 2:
! ScBe2Fe, optimized geometry, DFT PBE; values from VASP
! ΔE_f	0.383	eV/atom
! density	3.94	g/cm3
! energy relative to the lowest polymorph listed for this composition	466	meV per atom
&SYSTEM
  ibrav = 0, nat = 4, ntyp = 3
/
ATOMIC_SPECIES
Sc 44.96 Sc.upf
Be 9.01 Be.upf
Fe 55.84 Fe.upf
CELL_PARAMETERS angstrom
1.323 0.764 8.265
-1.323 0.764 8.265
0.000 -1.528 8.265
ATOMIC_POSITIONS angstrom
Sc 0.000 0.000 0.000
Be 0.000 0.000 5.896
Be 0.000 0.000 18.899
Fe 0.000 0.000 12.397

---

Entry 3:
! ScBeIr, optimized geometry, DFT PBE; values from VASP
! ΔE_f	-0.406	eV/atom
! density	8.88	g/cm3
! energy relative to the lowest polymorph listed for this composition	318	meV per atom
&SYSTEM
  ibrav = 0, nat = 3, ntyp = 3
/
ATOMIC_SPECIES
Sc 44.96 Sc.upf
Be 9.01 Be.upf
Ir 192.22 Ir.upf
CELL_PARAMETERS angstrom
0.000 2.844 2.844
2.844 0.000 2.844
2.844 2.844 0.000
ATOMIC_POSITIONS angstrom
Sc 0.000 0.000 0.000
Be 4.267 4.267 4.267
Ir 2.844 2.844 2.844

---

Entry 4:
! ScAs, optimized geometry, DFT PBE; values from VASP
! ΔE_f	-0.974	eV/atom
! density	5.09	g/cm3
&SYSTEM
  ibrav = 0, nat = 4, ntyp = 2
/
ATOMIC_SPECIES
Sc 44.96 Sc.upf
As 74.92 As.upf
CELL_PARAMETERS angstrom
-1.941 1.941 5.186
1.941 -1.941 5.186
1.941 1.941 -5.186
ATOMIC_POSITIONS angstrom
Sc 1.941 0.971 1.297
Sc 0.000 0.971 3.890
As 1.941 -0.971 3.890
As 0.000 2.912 1.297

---

So what do the calculations give for DOS(E_F)? Going down the list: 24.74, 2.53, 1.94, 1.45 states/eV per cell.
So what do the calculations give for electronic total energy? Going down the list: -4.886, -5.179, -6.712, -6.464 eV per atom.